# 1
VASP calculation (PBE-GGA) on crystalline MnRe3 at its relaxed geometry.

Summary:
- formation energy (meV per atom) = 2481

abc: 4.437 4.437 4.437
angles: 90.00 90.00 90.00
Fractional coordinates of all 4 atoms:
Re (0.000, 0.000, 0.500)
Re (0.000, 0.500, 0.000)
Re (0.500, 0.000, 0.000)
Mn (0.000, 0.000, 0.000)

***

# 2
VASP calculation (PBE-GGA) on crystalline FeSi2Ir2 at its relaxed geometry.

Summary:
- ΔE_f (raw) (eV per atom) = -0.37

abc: 7.042 7.042 2.754
angles: 90.00 90.00 90.00
Fractional coordinates of all 10 atoms:
Ir (0.852, 0.352, 0.500)
Ir (0.352, 0.148, 0.500)
Ir (0.148, 0.648, 0.500)
Ir (0.648, 0.852, 0.500)
Si (0.151, 0.349, 0.000)
Si (0.651, 0.151, 0.000)
Si (0.849, 0.651, 0.000)
Si (0.349, 0.849, 0.000)
Fe (0.000, 0.000, 0.000)
Fe (0.500, 0.500, 0.000)

***

# 3
VASP calculation (PBE-GGA) on crystalline Y2As at its relaxed geometry.

Summary:
- formation energy (meV per atom) = 88

abc: 5.941 5.941 11.987
angles: 90.00 90.00 120.00
Fractional coordinates of all 12 atoms:
Y (0.667, 0.833, 0.750)
Y (0.333, 0.167, 0.250)
Y (0.000, 0.000, 0.500)
Y (0.167, 0.833, 0.750)
Y (0.167, 0.333, 0.750)
Y (0.833, 0.167, 0.250)
Y (0.833, 0.667, 0.250)
Y (0.000, 0.000, 0.000)
As (0.667, 0.333, 0.859)
As (0.667, 0.333, 0.641)
As (0.333, 0.667, 0.359)
As (0.333, 0.667, 0.141)

***

# 4
VASP calculation (PBE-GGA) on crystalline Ce6PuMg2 at its relaxed geometry.

Summary:
- formation energy (meV per atom) = -97

abc: 6.092 7.134 7.134
angles: 59.79 108.14 108.14
Fractional coordinates of all 9 atoms:
Pu (0.000, 0.000, 0.000)
Ce (0.763, 0.126, 0.126)
Ce (0.751, 0.124, 0.629)
Ce (0.751, 0.629, 0.124)
Ce (0.237, 0.874, 0.874)
Ce (0.249, 0.876, 0.371)
Ce (0.249, 0.371, 0.876)
Mg (0.741, 0.620, 0.620)
Mg (0.259, 0.380, 0.380)

***

# 5
VASP calculation (PBE-GGA) on crystalline NaMgVPt2 at its relaxed geometry.

Summary:
- formation energy (meV per atom) = 1213

abc: 4.693 4.290 4.693
angles: 90.00 90.00 90.00
Fractional coordinates of all 5 atoms:
Mg (0.000, 0.500, 0.000)
V (0.500, 0.500, 0.500)
Na (0.000, 0.000, 0.000)
Pt (0.000, 0.000, 0.500)
Pt (0.500, 0.000, 0.000)

***

# 6
VASP calculation (PBE-GGA) on crystalline BeTlCd3 at its relaxed geometry.

Summary:
- polymorph energy (0 for the lowest one) (eV/atom) = 0.728
- formation energy (meV per atom) = 936

abc: 5.671 5.671 5.671
angles: 90.00 90.00 90.00
Fractional coordinates of all 5 atoms:
Cd (0.000, 0.000, 0.500)
Cd (0.000, 0.500, 0.000)
Cd (0.500, 0.000, 0.000)
Tl (0.000, 0.000, 0.000)
Be (0.500, 0.500, 0.500)

***

no.,DOS at the Fermi energy (states/eV/f.u.)
1,4.5
2,2.5
3,2.6
4,18.9
5,6.3
6,2.3